# Rb3CaCr2O8

A relaxed Rb3CaCr2O8 crystal (GGA+U, the Alexandria database).

Geometry as POSCAR:
```
Rb3CaCr2O8
1.0
6.0763 0.0000 0.0000
-3.0381 5.2622 0.0000
0.0000 0.0000 7.9382
O Cr Rb Ca
8 2 3 1
direct
0.1806 0.3613 0.3237
0.3333 0.6667 0.0403
0.8194 0.1806 0.6763
0.1806 0.8194 0.3237
0.8194 0.6387 0.6763
0.3613 0.1806 0.6763
0.6667 0.3333 0.9597
0.6387 0.8194 0.3237
0.6667 0.3333 0.7509
0.3333 0.6667 0.2491
0.0000 0.0000 0.0000
0.3333 0.6667 0.6892
0.6667 0.3333 0.3108
0.0000 0.0000 0.5000
```

Values from the calculation:
For the magnetic moment, the calculation gives 0.07 μB per atom. Its raw total energy is -85.13 eV for the cell shown.